! La2HoOs (PBE, relaxed); values from VASP
&SYSTEM
  ibrav = 0, nat = 8, ntyp = 3
/
ATOMIC_SPECIES
Os 190.23 Os.upf
La 138.91 La.upf
Ho 164.93 Ho.upf
CELL_PARAMETERS angstrom
4.1301 -0.0008 0.0000
-2.0654 6.0861 0.0000
0.0000 0.0000 9.3399
ATOMIC_POSITIONS angstrom
Os -0.0007 3.1723 2.3350
Os 2.0654 2.9131 7.0049
La -0.0009 4.3689 5.3178
La 2.0656 1.7165 4.0221
La 2.0656 1.7165 0.6479
La -0.0009 4.3689 8.6920
Ho 2.0645 5.0847 2.3350
Ho 0.0002 1.0006 7.0049
! Offset from the most stable computed form = 25 meV/atom
! E_form = -0.1429 eV/atom
! Raw total energy = -52.5 eV per cell
! Space-group type = Cmcm
! Total moment = 0.000 μB/atom